Arrangement one

# Tl2Si2Hg, optimized geometry, DFT PBE
data_Tl2Si2Hg
_symmetry_space_group_name_H-M 'P 4/m b m'
_symmetry_Int_Tables_number 127
_symmetry_space_group_name_Hall '-P 4 2ab'
_cell_length_a 6.798
_cell_length_b 6.798
_cell_length_c 5.330
_cell_angle_alpha 90.00
_cell_angle_beta 90.00
_cell_angle_gamma 90.00
loop_
_atom_site_label
_atom_site_type_symbol
_atom_site_fract_x
_atom_site_fract_y
_atom_site_fract_z
Tl1 Tl 0.180 0.320 0.000
Si1 Si 0.124 0.624 0.500
Hg1 Hg 0.000 0.000 0.500
# Crystal system: tetragonal
# Total magnetization, μB per formula unit: 0.00

***

Arrangement two

# Tl2Si2Hg, optimized geometry, DFT PBE
data_Tl2Si2Hg
_symmetry_space_group_name_H-M 'I 4/m m m'
_symmetry_Int_Tables_number 139
_symmetry_space_group_name_Hall '-I 4 2'
_cell_length_a 5.065
_cell_length_b 5.065
_cell_length_c 10.134
_cell_angle_alpha 90.00
_cell_angle_beta 90.00
_cell_angle_gamma 90.00
loop_
_atom_site_label
_atom_site_type_symbol
_atom_site_fract_x
_atom_site_fract_y
_atom_site_fract_z
Tl1 Tl 0.000 0.500 0.250
Si1 Si 0.000 0.000 0.114
Hg1 Hg 0.000 0.000 0.500
# Crystal system: tetragonal
# Total magnetization, μB per formula unit: 0.00

***

Arrangement three

# Tl2Si2Hg, optimized geometry, DFT PBE
data_Tl2Si2Hg
_symmetry_space_group_name_H-M 'I 4/m m m'
_symmetry_Int_Tables_number 139
_symmetry_space_group_name_Hall '-I 4 2'
_cell_length_a 3.508
_cell_length_b 3.508
_cell_length_c 20.972
_cell_angle_alpha 90.00
_cell_angle_beta 90.00
_cell_angle_gamma 90.00
loop_
_atom_site_label
_atom_site_type_symbol
_atom_site_fract_x
_atom_site_fract_y
_atom_site_fract_z
Tl1 Tl 0.000 0.000 0.124
Si1 Si 0.000 0.500 0.250
Hg1 Hg 0.000 0.000 0.500
# Crystal system: tetragonal
# Total magnetization, μB per formula unit: 0.00

***

Computed stability ranking, most favorable first: arrangement three, arrangement one, arrangement two

***

Arrangement one

# TmSiHg, optimized geometry, DFT PBE
data_TmSiHg
_symmetry_space_group_name_H-M 'P 3 m 1'
_symmetry_Int_Tables_number 156
_cell_length_a 4.3098
_cell_length_b 4.3098
_cell_length_c 4.0696
_cell_angle_alpha 90.00
_cell_angle_beta 90.00
_cell_angle_gamma 120.00
loop_
_symmetry_equiv_pos_as_xyz
'x,y,z'
'-y,x-y,z'
'-x+y,-x,z'
'-y,-x,z'
'-x+y,y,z'
'x,x-y,z'
loop_
_atom_site_label
_atom_site_type_symbol
_atom_site_fract_x
_atom_site_fract_y
_atom_site_fract_z
Tm1 Tm 0.0000 0.0000 0.0000
Si1 Si 0.6667 0.3333 0.4022
Hg1 Hg 0.3333 0.6667 0.5652
# Crystal system: trigonal
# Total magnetization, μB per formula unit: 0.00

***

Arrangement two

# TmSiHg, optimized geometry, DFT PBE
data_TmSiHg
_symmetry_space_group_name_H-M 'C m c m'
_symmetry_Int_Tables_number 63
_symmetry_space_group_name_Hall '-C 2c 2'
_cell_length_a 4.145
_cell_length_b 16.211
_cell_length_c 3.827
_cell_angle_alpha 90.00
_cell_angle_beta 90.00
_cell_angle_gamma 90.00
loop_
_atom_site_label
_atom_site_type_symbol
_atom_site_fract_x
_atom_site_fract_y
_atom_site_fract_z
Tm1 Tm 0.000 0.093 0.250
Si1 Si 0.000 0.455 0.250
Hg1 Hg 0.000 0.287 0.250
# Crystal system: orthorhombic
# Total magnetization, μB per formula unit: 0.00

***

Computed stability ranking, most favorable first: arrangement two, arrangement one

***

Arrangement one

# SiHg2W2, optimized geometry, DFT PBE
data_SiHg2W2
_symmetry_space_group_name_H-M 'P 4/m b m'
_symmetry_Int_Tables_number 127
_symmetry_space_group_name_Hall '-P 4 2ab'
_cell_length_a 8.567
_cell_length_b 8.567
_cell_length_c 2.770
_cell_angle_alpha 90.00
_cell_angle_beta 90.00
_cell_angle_gamma 90.00
loop_
_atom_site_label
_atom_site_type_symbol
_atom_site_fract_x
_atom_site_fract_y
_atom_site_fract_z
Si1 Si 0.000 0.000 0.000
Hg1 Hg 0.190 0.310 0.000
W1 W 0.103 0.603 0.500
# Crystal system: tetragonal
# Total magnetization, μB per formula unit: 0.00

***

Arrangement two

# SiHg2W2, optimized geometry, DFT PBE
data_SiHg2W2
_symmetry_space_group_name_H-M 'I 4/m m m'
_symmetry_Int_Tables_number 139
_symmetry_space_group_name_Hall '-I 4 2'
_cell_length_a 3.701
_cell_length_b 3.701
_cell_length_c 14.742
_cell_angle_alpha 90.00
_cell_angle_beta 90.00
_cell_angle_gamma 90.00
loop_
_atom_site_label
_atom_site_type_symbol
_atom_site_fract_x
_atom_site_fract_y
_atom_site_fract_z
Si1 Si 0.000 0.000 0.000
Hg1 Hg 0.000 0.000 0.404
W1 W 0.000 0.500 0.250
# Crystal system: tetragonal
# Total magnetization, μB per formula unit: 0.00

***

Computed stability ranking, most favorable first: arrangement two, arrangement one

***

Arrangement one

# Si3HgW, optimized geometry, DFT PBE
data_Si3HgW
_symmetry_space_group_name_H-M 'P m -3 m'
_symmetry_Int_Tables_number 221
_symmetry_space_group_name_Hall '-P 4 2 3'
_cell_length_a 4.898
_cell_length_b 4.898
_cell_length_c 4.898
_cell_angle_alpha 90.00
_cell_angle_beta 90.00
_cell_angle_gamma 90.00
loop_
_atom_site_label
_atom_site_type_symbol
_atom_site_fract_x
_atom_site_fract_y
_atom_site_fract_z
Si1 Si 0.000 0.000 0.500
Hg1 Hg 0.000 0.000 0.000
W1 W 0.500 0.500 0.500
# Crystal system: cubic
# Total magnetization, μB per formula unit: 3.19

***

Arrangement two

# Si3HgW, optimized geometry, DFT PBE
data_Si3HgW
_symmetry_space_group_name_H-M 'P m -3 m'
_symmetry_Int_Tables_number 221
_symmetry_space_group_name_Hall '-P 4 2 3'
_cell_length_a 4.820
_cell_length_b 4.820
_cell_length_c 4.820
_cell_angle_alpha 90.00
_cell_angle_beta 90.00
_cell_angle_gamma 90.00
loop_
_atom_site_label
_atom_site_type_symbol
_atom_site_fract_x
_atom_site_fract_y
_atom_site_fract_z
Si1 Si 0.000 0.000 0.500
Hg1 Hg 0.500 0.500 0.500
W1 W 0.000 0.000 0.000
# Crystal system: cubic
# Total magnetization, μB per formula unit: 0.00

***

Computed stability ranking, most favorable first: arrangement two, arrangement one

***

Arrangement one

# SiHgW2, optimized geometry, DFT PBE
data_SiHgW2
_symmetry_space_group_name_H-M 'P 1 2/m 1'
_symmetry_Int_Tables_number 10
_cell_length_a 2.844
_cell_length_b 3.992
_cell_length_c 5.968
_cell_angle_alpha 90.00
_cell_angle_beta 99.48
_cell_angle_gamma 90.00
loop_
_symmetry_equiv_pos_as_xyz
'x,y,z'
'-x,-y,-z'
'-x,y,-z'
'x,-y,z'
loop_
_atom_site_label
_atom_site_type_symbol
_atom_site_fract_x
_atom_site_fract_y
_atom_site_fract_z
Si1 Si 0.000 0.000 0.000
Hg1 Hg 0.000 0.000 0.500
W1 W 0.423 0.500 0.206
# Crystal system: monoclinic
# Total magnetization, μB per formula unit: 0.00

***

Arrangement two

# SiHgW2, optimized geometry, DFT PBE
data_SiHgW2
_symmetry_space_group_name_H-M 'P m m m'
_symmetry_Int_Tables_number 47
_cell_length_a 3.165
_cell_length_b 4.517
_cell_length_c 4.668
_cell_angle_alpha 90.00
_cell_angle_beta 90.00
_cell_angle_gamma 90.00
loop_
_symmetry_equiv_pos_as_xyz
'x,y,z'
'-x,-y,-z'
'-x,-y,z'
'x,y,-z'
'x,-y,-z'
'-x,y,z'
'-x,y,-z'
'x,-y,z'
loop_
_atom_site_label
_atom_site_type_symbol
_atom_site_fract_x
_atom_site_fract_y
_atom_site_fract_z
Si1 Si 0.000 0.000 0.000
Hg1 Hg 0.500 0.000 0.500
W1 W 0.000 0.500 0.500
W2 W 0.500 0.500 0.000
# Crystal system: orthorhombic
# Total magnetization, μB per formula unit: 0.00

***

Arrangement three

# SiHgW2, optimized geometry, DFT PBE
data_SiHgW2
_symmetry_space_group_name_H-M 'C 1 2/m 1'
_symmetry_Int_Tables_number 12
_cell_length_a 5.630
_cell_length_b 8.882
_cell_length_c 2.826
_cell_angle_alpha 90.00
_cell_angle_beta 109.59
_cell_angle_gamma 90.00
loop_
_symmetry_equiv_pos_as_xyz
'x,y,z'
'-x,-y,-z'
'-x,y,-z'
'x,-y,z'
'x+1/2,y+1/2,z'
'-x+1/2,-y+1/2,-z'
'-x+1/2,y+1/2,-z'
'x+1/2,-y+1/2,z'
loop_
_atom_site_label
_atom_site_type_symbol
_atom_site_fract_x
_atom_site_fract_y
_atom_site_fract_z
Si1 Si 0.000 0.000 0.000
Hg1 Hg 0.000 0.500 0.000
W1 W 0.250 0.250 0.500
# Crystal system: monoclinic
# Total magnetization, μB per formula unit: 0.00

***

Computed stability ranking, most favorable first: arrangement one, arrangement three, arrangement two

***

Arrangement one

# SiHgW2, optimized geometry, DFT PBE
data_SiHgW2
_symmetry_space_group_name_H-M 'P 4/m m m'
_symmetry_Int_Tables_number 123
_symmetry_space_group_name_Hall '-P 4 2'
_cell_length_a 3.037
_cell_length_b 3.037
_cell_length_c 7.149
_cell_angle_alpha 90.00
_cell_angle_beta 90.00
_cell_angle_gamma 90.00
loop_
_atom_site_label
_atom_site_type_symbol
_atom_site_fract_x
_atom_site_fract_y
_atom_site_fract_z
Si1 Si 0.000 0.000 0.000
Hg1 Hg 0.000 0.000 0.500
W1 W 0.500 0.500 0.196
# Crystal system: tetragonal
# Total magnetization, μB per formula unit: 0.00

***

Arrangement two

# SiHgW2, optimized geometry, DFT PBE
data_SiHgW2
_symmetry_space_group_name_H-M 'P 1 m 1'
_symmetry_Int_Tables_number 6
_cell_length_a 2.897
_cell_length_b 4.511
_cell_length_c 5.355
_cell_angle_alpha 90.00
_cell_angle_beta 103.18
_cell_angle_gamma 90.00
loop_
_symmetry_equiv_pos_as_xyz
'x,y,z'
'x,-y,z'
loop_
_atom_site_label
_atom_site_type_symbol
_atom_site_fract_x
_atom_site_fract_y
_atom_site_fract_z
Si1 Si 0.000 0.000 0.000
Hg1 Hg 0.299 0.500 0.737
W1 W 0.707 0.000 0.435
W2 W 0.959 0.500 0.217
# Crystal system: monoclinic
# Total magnetization, μB per formula unit: 0.00

***

Computed stability ranking, most favorable first: arrangement one, arrangement two